(1)
Crystalline Tb2Pm3Nd7 at its relaxed geometry. Source: Alexandria, functional PBE.

Values from the calculation:
The calculation puts the size of the total moment at 0.00 μB/cell. For the energy above the most stable polymorph in this dataset, the calculation gives 0.000 eV/atom. Its symmetry is No. 10. The value obtained for the density of states at the Fermi level is 1.41 states/eV/atom. For the energy relative to the elements, the calculation gives 100 kJ/mol of formula units.

Structure (POSCAR):
```
Tb2Pm3Nd7
1.0
-2.1155 2.3573 -1.7838
-4.8385 -2.4483 2.5027
2.2349 12.7851 14.2454
Pm Nd Tb
3 7 2
Cartesian
-2.3754 6.1790 10.9828
-3.4770 -0.0455 0.3595
-0.2282 4.1578 5.7653
-2.9724 0.1890 3.7748
-3.6134 5.2981 7.5831
-1.1056 7.3960 7.3812
0.3688 10.1478 12.9732
-1.5406 3.0495 2.1532
-3.1784 9.6446 12.8111
0.0000 0.0000 0.0000
-3.8178 3.2325 5.0957
-0.9012 9.4616 9.8686
```



(2)
Crystalline Er4Tl2TeP at its relaxed geometry. Source: Alexandria, functional PBE.

Values from the calculation:
As for the total energy: -38.3 eV/f.u. The calculation puts the size of the total moment at 0.00 μB/cell. Its symmetry is No. 10. The value obtained for the density of states at the Fermi level is 0.51 states/eV/atom.

Structure (POSCAR):
```
Er4Tl2TeP
1.0
3.9654 0.0000 0.0000
0.0000 6.9995 0.1669
0.0000 -2.4055 7.8121
Er Tl Te P
4 2 1 1
Cartesian
1.9827 3.5940 6.2951
1.9827 1.0000 1.6840
0.0000 4.8114 1.8992
0.0000 -0.2174 6.0799
1.9827 -1.2027 3.9061
0.0000 2.2970 3.9895
1.9827 3.4997 0.0835
0.0000 0.0000 0.0000
```



(3)
Crystalline CdCoTc2 at its relaxed geometry. Source: Alexandria, functional PBE.

Values from the calculation:
The calculation puts the size of the total moment at 0.95 μB/cell. Its symmetry is No. 123. The value obtained for the density of states at the Fermi level is 1.09 states/eV/atom. For the energy relative to the elements, the calculation gives 124 kJ/mol of formula units.

Structure (POSCAR):
```
CdCoTc2
1.0
2.6881 0.0149 0.0000
-0.0138 2.6881 0.0000
0.0000 0.0000 8.1654
Cd Tc Co
1 2 1
Cartesian
1.3372 1.3515 2.0413
0.0000 0.0000 7.8860
0.0000 0.0000 4.3620
1.3372 1.3515 6.1240
```



(4)
Crystalline Pm6Ga2SBr3 at its relaxed geometry. Source: Alexandria, functional PBE.

Values from the calculation:
As for the total energy: -57.6 eV/f.u. The calculation puts the size of the total moment at 0.00 μB/cell. Its symmetry is No. 12. The value obtained for the density of states at the Fermi level is 0.51 states/eV/atom.

Structure (POSCAR):
```
Pm6Ga2SBr3
1.0
-2.0688 6.8182 1.4304
-0.6967 -5.1434 5.0867
7.6028 0.9576 0.2797
Ga Br Pm S
2 3 6 1
Cartesian
-1.1540 -1.1568 3.8681
-1.6115 2.8317 2.6489
1.9663 5.2602 2.1928
2.4187 1.3162 3.3984
2.8711 -2.6278 4.6040
3.6399 3.9925 4.6043
5.2699 1.1847 1.8984
1.1975 -1.3600 2.1925
0.7481 2.5575 0.9950
4.0892 0.0749 5.8018
-0.4326 1.4477 4.8984
0.0000 0.0000 0.0000
```



(5)
Crystalline TmPaAu2 at its relaxed geometry. Source: Alexandria, functional PBE.

Values from the calculation:
The calculation puts the size of the total moment at 0.52 μB/cell. For the energy above the most stable polymorph in this dataset, the calculation gives 0.063 eV/atom. Its symmetry is No. 225. The value obtained for the density of states at the Fermi level is 1.39 states/eV/atom. For the energy relative to the elements, the calculation gives -182 kJ/mol of formula units.

Structure (POSCAR):
```
TmPaAu2
1.0
5.0763 0.0000 0.0000
2.5382 4.3962 0.0000
2.5382 1.4654 4.1448
Tm Au Pa
1 2 1
Cartesian
5.0763 2.9308 2.0724
7.6145 4.3962 3.1086
2.5382 1.4654 1.0362
0.0000 0.0000 0.0000
```



(6)
Crystalline CsMn2Tl at its relaxed geometry. Source: Alexandria, functional PBE.

Values from the calculation:
The calculation puts the size of the total moment at 8.49 μB/cell. Its symmetry is No. 225. The value obtained for the density of states at the Fermi level is 2.30 states/eV/atom. For the energy relative to the elements, the calculation gives 410 kJ/mol of formula units.

Structure (POSCAR):
```
CsMn2Tl
1.0
0.0000 3.8256 3.8256
3.8256 0.0000 3.8256
3.8256 3.8256 0.0000
Mn Tl Cs
2 1 1
Cartesian
1.9128 1.9128 1.9128
5.7384 5.7384 5.7384
3.8256 3.8256 3.8256
0.0000 0.0000 0.0000
```



Question: Which formula does entry 5 have?
Answer: TmPaAu2



Please write out number 1 again, unchanged.
Crystalline Tb2Pm3Nd7 at its relaxed geometry. Source: Alexandria, functional PBE.

Values from the calculation:
The calculation puts the size of the total moment at 0.00 μB/cell. For the energy above the most stable polymorph in this dataset, the calculation gives 0.000 eV/atom. Its symmetry is No. 10. The value obtained for the density of states at the Fermi level is 1.41 states/eV/atom. For the energy relative to the elements, the calculation gives 100 kJ/mol of formula units.

Structure (POSCAR):
```
Tb2Pm3Nd7
1.0
-2.1155 2.3573 -1.7838
-4.8385 -2.4483 2.5027
2.2349 12.7851 14.2454
Pm Nd Tb
3 7 2
Cartesian
-2.3754 6.1790 10.9828
-3.4770 -0.0455 0.3595
-0.2282 4.1578 5.7653
-2.9724 0.1890 3.7748
-3.6134 5.2981 7.5831
-1.1056 7.3960 7.3812
0.3688 10.1478 12.9732
-1.5406 3.0495 2.1532
-3.1784 9.6446 12.8111
0.0000 0.0000 0.0000
-3.8178 3.2325 5.0957
-0.9012 9.4616 9.8686
```



Question: Look up the size of the total moment of the first one.
Answer: 0.00 μB/cell